Below is a geometry-optimized KRb2BaBr structure, with properties calculated at the PBE level.

a = 7.202 Å, b = 7.202 Å, c = 6.525 Å
α = 90.00°, β = 90.00°, γ = 90.00°
Space group P4/mmm (No. 123)
Symmetry-distinct sites (fractional):
K (0.000, 0.000, 0.000) (multiplicity 1)
Rb (0.000, 0.500, 0.500) (multiplicity 2)
Ba (0.500, 0.500, 0.000) (multiplicity 1)
Br (0.500, 0.500, 0.500) (multiplicity 1)

Values from the calculation:
DOS(E_F)	0.85	states/eV/atom
V	67.70	A^3/atom
M_tot	0.0	μB/cell
energy	-0.069	Ha/atom